This record from Alexandria describes a relaxed structure of AsIrF2. The functional is GGA-PBEsol.

Output
- N(E_F) (states/eV/atom) = 0.648
- energy above the lowest structure with this stoichiometry (meV per atom) = 434.2
- uncorrected energy (eV/cell) = -39.17
- ΔE_f (raw) (eV/atom) = -0.1997

Geometry as POSCAR:
```
AsIrF2
1.0
-0.098 -4.673 0.313
2.699 -2.107 4.445
-4.343 -2.063 2.894
F As Ir
4 2 2
Direct
0.375 0.603 0.897 F
0.022 0.103 0.603 F
0.728 0.897 0.397 F
0.875 0.397 0.103 F
0.250 0.500 0.500 As
0.500 0.000 0.000 As
0.000 0.000 0.000 Ir
0.750 0.500 0.500 Ir
```

This record from Alexandria describes a relaxed structure of AsIrF2. The functional is GGA-PBEsol.

Output
- N(E_F) (states/eV/atom) = 0.741
- energy above the lowest structure with this stoichiometry (meV per atom) = 0.0
- uncorrected energy (eV/cell) = -21.32
- ΔE_f (raw) (eV/atom) = -0.6339

Geometry as POSCAR:
```
AsIrF2
1.0
2.708 0.000 0.000
1.354 2.345 0.000
1.354 0.782 8.085
Ir As F
1 1 2
Direct
0.000 0.000 0.000 Ir
0.500 0.500 0.500 As
0.918 0.918 0.245 F
0.082 0.082 0.755 F
```

This record from Alexandria describes a relaxed structure of AsIrO2F. The functional is GGA-PBEsol.

Output
- N(E_F) (states/eV/atom) = 0.912
- uncorrected energy (eV/cell) = -27.57
- ΔE_f (raw) (eV/atom) = -0.0420

Geometry as POSCAR:
```
AsIrO2F
1.0
3.888 0.000 0.000
0.000 3.888 0.000
0.000 0.000 4.161
As F O Ir
1 1 2 1
Direct
0.500 0.500 0.500 As
0.000 0.000 0.500 F
0.500 0.000 0.000 O
0.000 0.500 0.000 O
0.000 0.000 0.000 Ir
```

This record from Alexandria describes a relaxed structure of AsIrSe2F. The functional is GGA-PBEsol.

Output
- N(E_F) (states/eV/atom) = 0.869
- uncorrected energy (eV/cell) = -20.48
- ΔE_f (raw) (eV/atom) = 0.8160

Geometry as POSCAR:
```
AsIrSe2F
1.0
4.028 0.000 0.000
0.000 4.609 0.000
0.000 0.000 4.609
Se F Ir As
2 1 1 1
Direct
0.000 0.500 0.000 Se
0.000 0.000 0.500 Se
0.000 0.000 0.000 F
0.500 0.500 0.500 Ir
0.500 0.000 0.000 As
```

This record from Alexandria describes a relaxed structure of Sr2AsIrF. The functional is GGA-PBEsol.

Output
- N(E_F) (states/eV/atom) = 0.606
- uncorrected energy (eV/cell) = -23.83
- ΔE_f (raw) (eV/atom) = -0.6579

Geometry as POSCAR:
```
Sr2AsIrF
1.0
-2.104 1.316 3.842
0.883 -4.343 1.971
4.216 1.648 1.743
As Sr Ir F
1 2 1 1
Direct
0.500 0.000 0.000 As
0.000 0.000 0.500 Sr
0.000 0.500 0.000 Sr
0.500 0.500 0.500 Ir
0.000 0.000 0.000 F
```

This record from Alexandria describes a relaxed structure of KAs2F7. The functional is GGA-PBEsol.

Output
- N(E_F) (states/eV/atom) = 0.000
- uncorrected energy (eV/cell) = -192.42
- ΔE_f (raw) (eV/atom) = -2.3267

Geometry as POSCAR:
```
KAs2F7
1.0
-1.141 -6.942 1.773
8.337 -1.717 -1.355
-1.643 2.878 10.211
F As K
28 8 4
Direct
0.942 0.938 0.621 F
0.674 0.399 0.929 F
0.506 0.789 0.862 F
0.632 0.049 0.815 F
0.994 0.289 0.862 F
0.174 0.101 0.071 F
0.717 0.523 0.230 F
0.004 0.700 0.379 F
0.869 0.315 0.372 F
0.217 0.977 0.770 F
0.058 0.062 0.379 F
0.496 0.200 0.379 F
0.326 0.601 0.071 F
0.494 0.211 0.138 F
0.868 0.549 0.815 F
0.369 0.185 0.628 F
0.996 0.300 0.621 F
0.132 0.451 0.185 F
0.442 0.562 0.379 F
0.631 0.815 0.372 F
0.006 0.711 0.138 F
0.368 0.951 0.185 F
0.131 0.685 0.628 F
0.504 0.800 0.621 F
0.783 0.023 0.230 F
0.558 0.438 0.621 F
0.826 0.899 0.929 F
0.283 0.477 0.770 F
0.321 0.369 0.596 As
0.821 0.131 0.404 As
0.688 0.834 0.766 As
0.679 0.631 0.404 As
0.812 0.334 0.766 As
0.312 0.166 0.234 As
0.179 0.869 0.596 As
0.188 0.666 0.234 As
0.342 0.274 0.924 K
0.158 0.774 0.924 K
0.658 0.726 0.076 K
0.842 0.226 0.076 K
```

This record from Alexandria describes a relaxed structure of KMgAs2F. The functional is GGA-PBEsol.

Output
- N(E_F) (states/eV/atom) = 1.091
- uncorrected energy (eV/cell) = -9.10
- ΔE_f (raw) (eV/atom) = 1.1780

Geometry as POSCAR:
```
KMgAs2F
1.0
5.521 0.000 0.000
0.000 5.521 0.000
0.000 0.000 6.322
As K Mg F
2 1 1 1
Direct
0.500 0.000 0.000 As
0.000 0.500 0.000 As
0.000 0.000 0.000 K
0.000 0.000 0.500 Mg
0.500 0.500 0.500 F
```

This record from Alexandria describes a relaxed structure of KMgAs3F18. The functional is GGA-PBEsol.

Output
- N(E_F) (states/eV/atom) = 0.000
- uncorrected energy (eV/cell) = -435.04
- ΔE_f (raw) (eV/atom) = -2.4303

Geometry as POSCAR:
```
KMgAs3F18
1.0
9.514 0.000 0.000
0.000 10.385 0.000
0.000 0.000 13.944
F Mg K As
72 4 4 12
Direct
0.717 0.785 0.643 F
0.573 0.313 0.250 F
0.426 0.508 0.250 F
0.098 0.379 0.134 F
0.073 0.187 0.750 F
0.217 0.715 0.143 F
0.891 0.625 0.458 F
0.891 0.625 0.042 F
0.795 0.289 0.467 F
0.109 0.375 0.542 F
0.391 0.875 0.958 F
0.564 0.330 0.951 F
0.359 0.359 0.750 F
0.295 0.211 0.533 F
0.902 0.621 0.866 F
0.902 0.621 0.634 F
0.785 0.446 0.250 F
0.926 0.992 0.750 F
0.173 0.921 0.445 F
0.391 0.875 0.542 F
0.673 0.579 0.945 F
0.598 0.121 0.866 F
0.327 0.421 0.445 F
0.827 0.079 0.555 F
0.827 0.079 0.945 F
0.927 0.813 0.250 F
0.098 0.379 0.366 F
0.936 0.830 0.951 F
0.795 0.289 0.033 F
0.402 0.879 0.134 F
0.893 0.975 0.380 F
0.609 0.125 0.458 F
0.564 0.330 0.549 F
0.205 0.711 0.533 F
0.705 0.789 0.467 F
0.064 0.170 0.451 F
0.393 0.525 0.880 F
0.607 0.475 0.380 F
0.859 0.141 0.250 F
0.327 0.421 0.055 F
0.205 0.711 0.967 F
0.436 0.670 0.049 F
0.402 0.879 0.366 F
0.574 0.492 0.750 F
0.427 0.687 0.750 F
0.064 0.170 0.049 F
0.705 0.789 0.033 F
0.715 0.946 0.250 F
0.215 0.554 0.750 F
0.109 0.375 0.958 F
0.609 0.125 0.042 F
0.893 0.975 0.120 F
0.074 0.008 0.250 F
0.107 0.025 0.880 F
0.598 0.121 0.634 F
0.783 0.285 0.857 F
0.641 0.641 0.250 F
0.936 0.830 0.549 F
0.141 0.859 0.750 F
0.393 0.525 0.620 F
0.607 0.475 0.120 F
0.107 0.025 0.620 F
0.673 0.579 0.555 F
0.217 0.715 0.357 F
0.436 0.670 0.451 F
0.285 0.054 0.750 F
0.717 0.785 0.857 F
0.283 0.215 0.357 F
0.783 0.285 0.643 F
0.173 0.921 0.055 F
0.283 0.215 0.143 F
0.295 0.211 0.967 F
0.500 0.500 0.000 Mg
0.000 0.000 0.500 Mg
0.500 0.500 0.500 Mg
0.000 0.000 0.000 Mg
0.971 0.424 0.750 K
0.029 0.576 0.250 K
0.529 0.924 0.750 K
0.471 0.076 0.250 K
0.106 0.022 0.750 As
0.394 0.522 0.750 As
0.894 0.978 0.250 As
0.304 0.795 0.450 As
0.196 0.295 0.050 As
0.804 0.705 0.950 As
0.196 0.295 0.450 As
0.606 0.478 0.250 As
0.804 0.705 0.550 As
0.304 0.795 0.050 As
0.696 0.205 0.950 As
0.696 0.205 0.550 As
```

This record from Alexandria describes a relaxed structure of KAsNF2. The functional is GGA-PBEsol.

Output
- N(E_F) (states/eV/atom) = 0.552
- uncorrected energy (eV/cell) = -16.25
- ΔE_f (raw) (eV/atom) = 0.4750

Geometry as POSCAR:
```
KAsNF2
1.0
4.570 0.000 0.000
0.000 4.570 0.000
0.000 0.000 4.854
N F K As
1 2 1 1
Direct
0.000 0.000 0.500 N
0.500 0.000 0.000 F
0.000 0.500 0.000 F
0.000 0.000 0.000 K
0.500 0.500 0.500 As
```

This record from Alexandria describes a relaxed structure of KRb2AsF6. The functional is GGA-PBEsol.

Output
- N(E_F) (states/eV/atom) = 0.000
- uncorrected energy (eV/cell) = -45.22
- ΔE_f (raw) (eV/atom) = -2.5364

Geometry as POSCAR:
```
KRb2AsF6
1.0
6.408 0.000 0.000
3.204 5.549 0.000
3.204 1.850 5.232
K Rb F As
1 2 6 1
Direct
0.500 0.500 0.500 K
0.750 0.750 0.750 Rb
0.250 0.250 0.250 Rb
0.226 0.774 0.774 F
0.774 0.226 0.774 F
0.226 0.774 0.226 F
0.226 0.226 0.774 F
0.774 0.774 0.226 F
0.774 0.226 0.226 F
0.000 0.000 0.000 As
```

This record from Alexandria describes a relaxed structure of KReAsF2. The functional is GGA-PBEsol.

Output
- N(E_F) (states/eV/atom) = 0.576
- uncorrected energy (eV/cell) = -24.20
- ΔE_f (raw) (eV/atom) = -0.1547

Geometry as POSCAR:
```
KReAsF2
1.0
-1.097 3.533 -2.914
-3.461 -2.607 -1.858
-3.007 1.709 3.204
K F Re As
1 2 1 1
Direct
0.500 0.500 0.500 K
0.000 0.000 0.500 F
0.000 0.500 0.000 F
0.500 0.000 0.000 Re
0.000 0.000 0.000 As
```

This record from Alexandria describes a relaxed structure of K2TlAsF6. The functional is GGA-PBEsol.

Output
- N(E_F) (states/eV/atom) = 0.000
- uncorrected energy (eV/cell) = -44.14
- ΔE_f (raw) (eV/atom) = -2.2571

Geometry as POSCAR:
```
K2TlAsF6
1.0
6.505 0.000 0.000
3.252 5.633 0.000
3.252 1.878 5.311
F K As Tl
6 2 1 1
Direct
0.222 0.778 0.222 F
0.778 0.778 0.222 F
0.222 0.778 0.778 F
0.778 0.222 0.778 F
0.778 0.222 0.222 F
0.222 0.222 0.778 F
0.250 0.250 0.250 K
0.750 0.750 0.750 K
0.000 0.000 0.000 As
0.500 0.500 0.500 Tl
```

This record from Alexandria describes a relaxed structure of LaAsO2F. The functional is GGA-PBEsol.

Output
- N(E_F) (states/eV/atom) = 0.669
- uncorrected energy (eV/cell) = -29.71
- ΔE_f (raw) (eV/atom) = -1.3670

Geometry as POSCAR:
```
LaAsO2F
1.0
-3.512 0.789 2.657
-2.441 -3.172 -2.284
1.481 -3.242 2.920
O F As La
2 1 1 1
Direct
0.000 0.500 0.000 O
0.000 0.000 0.500 O
0.500 0.000 0.000 F
0.500 0.500 0.500 As
0.000 0.000 0.000 La
```

This record from Alexandria describes a relaxed structure of LaAsOF2. The functional is GGA-PBEsol.

Output
- N(E_F) (states/eV/atom) = 0.239
- uncorrected energy (eV/cell) = -29.54
- ΔE_f (raw) (eV/atom) = -1.9965

Geometry as POSCAR:
```
LaAsOF2
1.0
4.569 0.000 0.000
0.000 4.569 0.000
0.000 0.000 4.758
As O La F
1 1 1 2
Direct
0.500 0.500 0.500 As
0.000 0.000 0.500 O
0.000 0.000 0.000 La
0.500 0.000 0.000 F
0.000 0.500 0.000 F
```

This record from Alexandria describes a relaxed structure of LiAs2F. The functional is GGA-PBEsol.

Output
- N(E_F) (states/eV/atom) = 0.290
- uncorrected energy (eV/cell) = -15.57
- ΔE_f (raw) (eV/atom) = -0.3648

Geometry as POSCAR:
```
LiAs2F
1.0
4.303 0.000 0.000
2.152 3.727 0.000
2.152 1.242 3.514
Li F As
1 1 2
Direct
0.000 0.000 0.000 Li
0.500 0.500 0.500 F
0.750 0.750 0.750 As
0.250 0.250 0.250 As
```

This record from Alexandria describes a relaxed structure of Li3AsF. The functional is GGA-PBEsol.

Output
- N(E_F) (states/eV/atom) = 0.391
- uncorrected energy (eV/cell) = -20.16
- ΔE_f (raw) (eV/atom) = -1.4455

Geometry as POSCAR:
```
Li3AsF
1.0
-2.650 -2.213 1.939
2.221 -3.217 -0.637
1.931 0.661 3.394
Li F As
3 1 1
Direct
0.000 0.500 0.000 Li
0.000 0.000 0.500 Li
0.500 0.000 0.000 Li
0.000 0.000 0.000 F
0.500 0.500 0.500 As
```

This record from Alexandria describes a relaxed structure of LiAs3F. The functional is GGA-PBEsol.

Output
- N(E_F) (states/eV/atom) = 0.677
- uncorrected energy (eV/cell) = -17.87
- ΔE_f (raw) (eV/atom) = 0.2684

Geometry as POSCAR:
```
LiAs3F
1.0
-2.221 -1.383 3.518
3.740 -0.209 2.279
-0.551 4.155 1.286
As Li F
3 1 1
Direct
0.500 0.000 0.000 As
0.000 0.000 0.500 As
0.000 0.500 0.000 As
0.000 0.000 0.000 Li
0.500 0.500 0.500 F
```

This record from Alexandria describes a relaxed structure of LiAsO2F. The functional is GGA-PBEsol.

Output
- N(E_F) (states/eV/atom) = 0.368
- uncorrected energy (eV/cell) = -23.05
- ΔE_f (raw) (eV/atom) = -0.7099

Geometry as POSCAR:
```
LiAsO2F
1.0
-0.464 1.306 3.112
1.987 -2.711 1.434
3.027 2.010 -0.393
Li As F O
1 1 1 2
Direct
0.000 0.000 0.000 Li
0.500 0.500 0.500 As
0.500 0.000 0.000 F
0.000 0.000 0.500 O
0.000 0.500 0.000 O
```

This record from Alexandria describes a relaxed structure of LiAsO2F. The functional is GGA-PBEsol.

Output
- N(E_F) (states/eV/atom) = 0.080
- uncorrected energy (eV/cell) = -26.59
- ΔE_f (raw) (eV/atom) = -1.4176

Geometry as POSCAR:
```
LiAsO2F
1.0
3.771 0.000 0.000
0.000 3.771 0.000
0.000 0.000 4.117
F O As Li
1 2 1 1
Direct
0.000 0.000 0.500 F
0.500 0.000 0.000 O
0.000 0.500 0.000 O
0.000 0.000 0.000 As
0.500 0.500 0.500 Li
```

This record from Alexandria describes a relaxed structure of Rb2LiAsF6. The functional is GGA-PBEsol.

Output
- N(E_F) (states/eV/atom) = 0.000
- uncorrected energy (eV/cell) = -46.49
- ΔE_f (raw) (eV/atom) = -2.5805

Geometry as POSCAR:
```
Rb2LiAsF6
1.0
5.894 0.000 0.000
2.947 5.104 0.000
2.947 1.701 4.813
F Rb As Li
6 2 1 1
Direct
0.753 0.247 0.247 F
0.753 0.247 0.753 F
0.247 0.753 0.753 F
0.247 0.753 0.247 F
0.247 0.247 0.753 F
0.753 0.753 0.247 F
0.250 0.250 0.250 Rb
0.750 0.750 0.750 Rb
0.000 0.000 0.000 As
0.500 0.500 0.500 Li
```

This record from Alexandria describes a relaxed structure of MgAs2F. The functional is GGA-PBEsol.

Output
- N(E_F) (states/eV/atom) = 0.242
- uncorrected energy (eV/cell) = -34.43
- ΔE_f (raw) (eV/atom) = -0.8390

Geometry as POSCAR:
```
MgAs2F
1.0
-2.936 -0.593 1.930
-1.408 -1.839 -2.708
6.596 -7.940 4.308
Mg As F
2 4 2
Direct
0.000 0.000 0.000 Mg
0.250 0.750 0.500 Mg
0.125 0.122 0.750 As
0.372 0.875 0.250 As
0.878 0.375 0.250 As
0.625 0.628 0.750 As
0.750 0.250 0.500 F
0.500 0.500 0.000 F
```